[1]
Here is a geometry-optimized Ti2AsBrN structure from the Alexandria database. Energies are from PBE.

abc: 4.653 4.956 4.653
angles: 90.00 90.00 90.00
Fractional coordinates of all 5 atoms:
As 0.000 0.500 0.000
N 0.500 0.500 0.500
Br 0.000 0.000 0.000
Ti 0.000 0.000 0.500
Ti 0.500 0.000 0.000

- volume (Å³/atom) = 21.460
- uncorrected formation energy (eV per atom) = 1.797
- symmetry = No. 123
- magnetization (μB per formula unit) = 0.00
- DOS at the Fermi energy (states/eV per atom) = 0.96


[2]
Here is a geometry-optimized TiAs2BrN structure from the Alexandria database. Energies are from PBE.

abc: 4.216 4.216 4.817
angles: 90.00 90.00 90.00
Site moments in Bohr magnetons follow the coordinates.
Fractional coordinates of all 5 atoms:
As 0.000 0.500 0.000  -0.04
As 0.500 0.000 0.000  -0.04
N 0.000 0.000 0.000  -0.08
Br 0.000 0.000 0.500  -0.04
Ti 0.500 0.500 0.500  0.70

- volume (Å³/atom) = 17.123
- uncorrected formation energy (eV per atom) = 0.726
- symmetry = No. 123
- magnetization (μB per formula unit) = 0.53
- DOS at the Fermi energy (states/eV per atom) = 0.71
- ΔE to the lowest computed polymorph (meV per atom) = 0


[3]
Here is a geometry-optimized TlAs2BrN structure from the Alexandria database. Energies are from PBE.

abc: 4.283 4.283 7.708
angles: 90.00 90.00 90.00
Fractional coordinates of all 5 atoms:
Tl 0.500 0.500 0.500
As 0.000 0.500 0.000
As 0.500 0.000 0.000
Br 0.000 0.000 0.500
N 0.000 0.000 0.000

- volume (Å³/atom) = 28.275
- uncorrected formation energy (eV per atom) = 0.606
- symmetry = No. 123
- magnetization (μB per formula unit) = 0.00
- DOS at the Fermi energy (states/eV per atom) = 0.82
- ΔE to the lowest computed polymorph (meV per atom) = 0


[4]
Here is a geometry-optimized TlAsBr2N structure from the Alexandria database. Energies are from PBE.

abc: 5.733 5.733 5.616
angles: 90.00 90.00 90.00
Site moments in Bohr magnetons follow the coordinates.
Fractional coordinates of all 5 atoms:
Tl 0.000 0.000 0.000  0.00
As 0.000 0.000 0.500  -0.81
Br 0.000 0.500 0.000  -0.01
Br 0.500 0.000 0.000  -0.01
N 0.500 0.500 0.500  1.91

- volume (Å³/atom) = 36.912
- uncorrected formation energy (eV per atom) = 1.221
- symmetry = No. 123
- magnetization (μB per formula unit) = 1.12
- DOS at the Fermi energy (states/eV per atom) = 0.53
- ΔE to the lowest computed polymorph (meV per atom) = 741


[5]
Here is a geometry-optimized TlAsBr2N structure from the Alexandria database. Energies are from PBE.

abc: 6.456 6.456 3.582
angles: 90.00 90.00 90.00
Fractional coordinates of all 5 atoms:
Tl 0.500 0.500 0.500
As 0.000 0.000 0.500
Br 0.000 0.500 0.000
Br 0.500 0.000 0.000
N 0.000 0.000 0.000

- volume (Å³/atom) = 29.861
- uncorrected formation energy (eV per atom) = 0.480
- symmetry = No. 123
- magnetization (μB per formula unit) = 0.00
- DOS at the Fermi energy (states/eV per atom) = 0.75
- ΔE to the lowest computed polymorph (meV per atom) = 0


[6]
Here is a geometry-optimized TlAs2BrN structure from the Alexandria database. Energies are from PBE.

abc: 5.498 5.498 5.967
angles: 90.00 90.00 90.00
Site moments in Bohr magnetons follow the coordinates.
Fractional coordinates of all 5 atoms:
Tl 0.000 0.000 0.000  -0.01
As 0.000 0.500 0.000  0.48
As 0.500 0.000 0.000  0.48
Br 0.000 0.000 0.500  0.19
N 0.500 0.500 0.500  1.91

- volume (Å³/atom) = 36.075
- uncorrected formation energy (eV per atom) = 1.712
- symmetry = No. 123
- magnetization (μB per formula unit) = 5.24
- DOS at the Fermi energy (states/eV per atom) = 0.45
- ΔE to the lowest computed polymorph (meV per atom) = 1106


[7]
Here is a geometry-optimized VAsBr2N structure from the Alexandria database. Energies are from PBE.

abc: 5.070 5.070 4.917
angles: 90.00 90.00 90.00
Site moments in Bohr magnetons follow the coordinates.
Fractional coordinates of all 5 atoms:
As 0.000 0.000 0.500  -0.53
N 0.500 0.500 0.500  1.84
Br 0.000 0.500 0.000  -0.01
Br 0.500 0.000 0.000  -0.01
V 0.000 0.000 0.000  1.57

- volume (Å³/atom) = 25.277
- uncorrected formation energy (eV per atom) = 0.939
- symmetry = No. 123
- magnetization (μB per formula unit) = 3.38
- DOS at the Fermi energy (states/eV per atom) = 1.03
- ΔE to the lowest computed polymorph (meV per atom) = 0


[8]
Here is a geometry-optimized VAsBr2N structure from the Alexandria database. Energies are from PBE.

abc: 4.419 4.419 4.675
angles: 90.00 90.00 90.00
Site moments in Bohr magnetons follow the coordinates.
Fractional coordinates of all 5 atoms:
As 0.000 0.000 0.500  -0.03
N 0.000 0.000 0.000  -0.01
Br 0.000 0.500 0.000  -0.01
Br 0.500 0.000 0.000  -0.01
V 0.500 0.500 0.500  -0.09

- volume (Å³/atom) = 18.258
- uncorrected formation energy (eV per atom) = 1.306
- symmetry = No. 123
- magnetization (μB per formula unit) = 0.21
- DOS at the Fermi energy (states/eV per atom) = 1.27
- ΔE to the lowest computed polymorph (meV per atom) = 367